The following is a DFT calculation (PBE-GGA) of a relaxed Rb2NiPdI6 crystal.

a = 7.8882 Å, b = 7.8882 Å, c = 7.8999 Å
α = 60.05°, β = 60.05°, γ = 90.00°
Last column: nearest neighbours and their distance in Å.
Atoms (fractional coordinates):
1 I 0.7445 0.7445 0.5110  1 Ni 2.74, 1 Pd 2.86
2 I 0.7456 0.2544 0.0000  1 Ni 2.74, 1 Pd 2.84
3 I 0.2544 0.7456 0.0000  1 Ni 2.74, 1 Pd 2.84
4 I 0.2544 0.2544 0.0000  1 Ni 2.74, 1 Pd 2.84
5 I 0.2555 0.2555 0.4890  1 Ni 2.74, 1 Pd 2.86
6 I 0.7456 0.7456 0.0000  1 Ni 2.74, 1 Pd 2.84
7 Rb 0.7500 0.2500 0.5000  12 I 3.94-3.95
8 Rb 0.2500 0.7500 0.5000  12 I 3.94-3.95
9 Pd 0.0000 0.0000 0.0000  6 I 2.84-2.86
10 Ni 0.5000 0.5000 0.0000  6 I 2.74

Results
Magnetization (μB/f.u.): 0.00
Raw formation energy (eV/f.u.): -6.2

The following is a DFT calculation (PBE-GGA) of a relaxed Sm6Ni2PdI3 crystal.

a = 7.1828 Å, b = 7.1828 Å, c = 8.3357 Å
α = 98.25°, β = 98.25°, γ = 120.03°
Last column: nearest neighbours and their distance in Å.
Atoms (fractional coordinates):
1 Sm 0.5922 0.9392 0.8176  2 Ni 2.76, 1 Pd 2.89
2 Sm 0.7135 0.7135 0.1819  2 Ni 2.76, 1 Pd 2.88
3 Sm 0.2865 0.2865 0.8181  2 Ni 2.76, 1 Pd 2.88
4 Sm 0.0608 0.4078 0.1824  2 Ni 2.76, 1 Pd 2.89
5 Sm 0.9392 0.5922 0.8176  2 Ni 2.76, 1 Pd 2.89
6 Sm 0.4078 0.0608 0.1824  2 Ni 2.76, 1 Pd 2.89
7 I 0.1663 0.8337 0.5000  6 Sm 3.42-3.52
8 I 0.8337 0.1663 0.5000  6 Sm 3.42-3.52
9 I 0.5000 0.5000 0.5000  6 Sm 3.42-3.52
10 Pd 0.0000 0.0000 0.0000  6 Sm 2.88-2.89
11 Ni 0.3333 0.6667 0.0000  6 Sm 2.76
12 Ni 0.6667 0.3333 0.0000  6 Sm 2.76

Results
Magnetization (μB/f.u.): 0.00
Raw formation energy (eV/f.u.): -8.9

The following is a DFT calculation (PBE-GGA) of a relaxed NiSnPdI2 crystal.

a = 6.1249 Å, b = 5.0492 Å, c = 6.1249 Å
α = 90.00°, β = 90.00°, γ = 90.00°
Last column: nearest neighbours and their distance in Å.
Atoms (fractional coordinates):
1 I 0.0000 0.0000 0.5000  2 Sn 3.06
2 I 0.5000 0.0000 0.0000  2 Sn 3.06
3 Sn 0.0000 0.0000 0.0000  2 Pd 2.52
4 Pd 0.0000 0.5000 0.0000  2 Sn 2.52
5 Ni 0.5000 0.5000 0.5000  8 I 3.97, 4 Pd 4.33

Results
Magnetization (μB/f.u.): 1.00
Raw formation energy (eV/f.u.): 4.4

The following is a DFT calculation (PBE-GGA) of a relaxed Ti2NiPdI crystal.

a = 4.5461 Å, b = 4.8218 Å, c = 4.5461 Å
α = 90.00°, β = 90.00°, γ = 90.00°
Last column: nearest neighbours and their distance in Å.
Atoms (fractional coordinates):
1 I 0.5000 0.5000 0.5000  4 Pd 3.21, 8 Ti 3.31
2 Ti 0.0000 0.0000 0.5000  2 Ni 2.27
3 Ti 0.5000 0.0000 0.0000  2 Ni 2.27
4 Ni 0.0000 0.0000 0.0000  4 Ti 2.27, 2 Pd 2.41
5 Pd 0.0000 0.5000 0.0000  2 Ni 2.41

Results
Magnetization (μB/f.u.): 0.00
Raw formation energy (eV/f.u.): 1.8

The following is a DFT calculation (PBE-GGA) of a relaxed TlNi2PdI crystal.

a = 4.8502 Å, b = 5.1532 Å, c = 4.8502 Å
α = 90.00°, β = 90.00°, γ = 90.00°
Last column: nearest neighbours and their distance in Å.
Atoms (fractional coordinates):
1 I 0.5000 0.5000 0.5000  4 Pd 3.43, 8 Ni 3.54
2 Ni 0.0000 0.0000 0.5000  2 Tl 2.43
3 Ni 0.5000 0.0000 0.0000  2 Tl 2.43
4 Tl 0.0000 0.0000 0.0000  4 Ni 2.43, 2 Pd 2.58
5 Pd 0.0000 0.5000 0.0000  2 Tl 2.58

Results
Magnetization (μB/f.u.): 0.03
Raw formation energy (eV/f.u.): 5.1

The following is a DFT calculation (PBE-GGA) of a relaxed ZrNiPd2I crystal.

a = 4.8642 Å, b = 5.3388 Å, c = 4.8642 Å
α = 90.00°, β = 90.00°, γ = 90.00°
Last column: nearest neighbours and their distance in Å.
Atoms (fractional coordinates):
1 Pd 0.5000 0.0000 0.0000  2 I 2.43
2 Pd 0.0000 0.0000 0.5000  2 I 2.43
3 Zr 0.0000 0.5000 0.0000  2 I 2.67
4 Ni 0.5000 0.5000 0.5000  4 Zr 3.44, 8 Pd 3.61
5 I 0.0000 0.0000 0.0000  4 Pd 2.43, 2 Zr 2.67

Results
Magnetization (μB/f.u.): 0.72
Raw formation energy (eV/f.u.): 5.1

The following is a DFT calculation (PBE-GGA) of a relaxed Pm3NiI2 crystal.

a = 7.4730 Å, b = 8.1807 Å, c = 7.4630 Å
α = 81.13°, β = 59.96°, γ = 72.07°
Last column: nearest neighbours and their distance in Å.
Atoms (fractional coordinates):
1 I 0.8432 0.5000 0.3135  6 Pm 3.30-3.63
2 I 0.1568 0.5000 0.6865  6 Pm 3.30-3.63
3 I 0.0000 0.0000 0.0000  6 Pm 3.18-3.19
4 I 0.5000 0.5000 0.0000  6 Pm 3.26-3.59
5 Pm 0.0659 0.8101 0.3779  2 Ni 2.76-2.77
6 Pm 0.6857 0.8119 0.0000  2 Ni 2.77
7 Pm 0.9341 0.1899 0.6221  2 Ni 2.76-2.77
8 Pm 0.5563 0.1899 0.3779  2 Ni 2.76-2.77
9 Pm 0.4437 0.8101 0.6221  2 Ni 2.76-2.77
10 Pm 0.3143 0.1881 0.0000  2 Ni 2.77
11 Ni 0.6674 0.0000 0.6653  6 Pm 2.76-2.77
12 Ni 0.3326 0.0000 0.3347  6 Pm 2.76-2.77

Results
Magnetization (μB/f.u.): 0.00
Raw formation energy (eV/f.u.): -4.5

The following is a DFT calculation (PBE-GGA) of a relaxed Pm2NiI2 crystal.

a = 4.1158 Å, b = 4.1155 Å, c = 12.4178 Å
α = 81.53°, β = 80.46°, γ = 60.00°
Last column: nearest neighbours and their distance in Å.
Atoms (fractional coordinates):
1 I 0.5520 0.0859 0.8100  3 Pm 3.24
2 I 0.4480 0.9141 0.1900  3 Pm 3.24
3 Ni 0.0000 0.5000 0.5000  6 Pm 2.86
4 Pm 0.7146 0.2005 0.3703  3 Ni 2.86
5 Pm 0.2854 0.7995 0.6297  3 Ni 2.86

Results
Magnetization (μB/f.u.): 0.00
Raw formation energy (eV/f.u.): -4.4

The following is a DFT calculation (PBE-GGA) of a relaxed Pm7NiI12 crystal.

a = 9.9227 Å, b = 9.9227 Å, c = 9.9227 Å
α = 107.43°, β = 107.43°, γ = 107.43°
Last column: nearest neighbours and their distance in Å.
Atoms (fractional coordinates):
1 I 0.1566 0.3902 0.4714  3 Pm 3.15-3.25
2 I 0.3185 0.7741 0.9255  3 Pm 3.17-3.44
3 I 0.0745 0.6815 0.2259  3 Pm 3.17-3.44
4 I 0.4714 0.1566 0.3902  3 Pm 3.15-3.25
5 I 0.6098 0.5286 0.8434  3 Pm 3.15-3.25
6 I 0.9255 0.3185 0.7741  3 Pm 3.17-3.44
7 I 0.5286 0.8434 0.6098  3 Pm 3.15-3.25
8 I 0.2259 0.0745 0.6815  3 Pm 3.17-3.44
9 I 0.8434 0.6098 0.5286  3 Pm 3.15-3.25
10 I 0.7741 0.9255 0.3185  3 Pm 3.17-3.44
11 I 0.6815 0.2259 0.0745  3 Pm 3.17-3.44
12 I 0.3902 0.4714 0.1566  3 Pm 3.15-3.25
13 Pm 0.5000 0.5000 0.5000  6 I 3.15
14 Pm 0.6981 0.8982 0.9696  1 Ni 2.75
15 Pm 0.8982 0.9696 0.6981  1 Ni 2.75
16 Pm 0.9696 0.6981 0.8982  1 Ni 2.75
17 Pm 0.1018 0.0304 0.3019  1 Ni 2.75
18 Pm 0.0304 0.3019 0.1018  1 Ni 2.75
19 Pm 0.3019 0.1018 0.0304  1 Ni 2.75
20 Ni 0.0000 0.0000 0.0000  6 Pm 2.75

Results
Magnetization (μB/f.u.): 0.56
Raw formation energy (eV/f.u.): -24.6

The following is a DFT calculation (PBE-GGA) of a relaxed Pm3NiI crystal.

a = 3.8678 Å, b = 9.6739 Å, c = 8.4407 Å
α = 90.00°, β = 90.00°, γ = 90.00°
Last column: nearest neighbours and their distance in Å.
Atoms (fractional coordinates):
1 Pm 0.7500 0.9268 0.8376  2 Ni 2.90
2 Pm 0.7500 0.5732 0.8376  2 Ni 2.90
3 Pm 0.7500 0.7500 0.2184  2 Ni 2.70
4 Pm 0.2500 0.2500 0.7816  2 Ni 2.70
5 Pm 0.2500 0.4268 0.1624  2 Ni 2.90
6 Pm 0.2500 0.0732 0.1624  2 Ni 2.90
7 I 0.7500 0.2500 0.4482  6 Pm 3.41-3.53, 1 Ni 3.74
8 I 0.2500 0.7500 0.5518  6 Pm 3.41-3.53, 1 Ni 3.74
9 Ni 0.7500 0.2500 0.0055  6 Pm 2.70-2.90
10 Ni 0.2500 0.7500 0.9945  6 Pm 2.70-2.90

Results
Magnetization (μB/f.u.): 0.00
Raw formation energy (eV/f.u.): -2.0